The following is a PBE calculation of a geometry-optimized IrIF2 structure, from Alexandria via LeMat-Bulk.

Properties
space group: I-42d
calculated volume: 127.0 Å³/cell
calculated density: 9.34 Mg/m³
electronic total energy: -3.615 eV/atom
relative energy among the computed polymorphs: 0.096 eV/atom
total moment: 0.0 μB per formula unit
uncorrected formation energy: -76 meV/atom
Fermi-level density of states: 6.9 states/eV/cell

```
8
Lattice="-1.958 1.958 8.275 1.958 -1.958 8.275 1.958 1.958 -8.275" Properties=species:S:1:pos:R:3 pbc="T T T"
Ir 0.000 0.000 0.000
Ir 0.000 1.958 4.138
I 1.958 0.000 4.138
I 0.000 0.000 8.275
F 2.938 0.719 -2.069
F 0.719 0.979 2.069
F -0.979 1.239 6.206
F 1.239 0.979 10.344
```

The following is a PBE calculation of a geometry-optimized Dy3Mg2Al2 structure, from Alexandria via LeMat-Bulk.

Properties
space group: Cmmm
calculated volume: 174.7 Å³/cell
calculated density: 5.61 Mg/m³
electronic total energy: -3.753 eV/atom
total moment: 0.0 μB per formula unit
energy of formation: -0.255 eV per atom
Fermi-level density of states: 6.7 states/eV/cell

```
7
Lattice="2.211 -11.119 0.000 2.211 11.119 0.000 0.000 0.000 3.554" Properties=species:S:1:pos:R:3 pbc="T T T"
Dy 0.000 0.000 0.000
Dy 2.211 7.484 0.000
Dy 2.211 -7.484 0.000
Mg 2.211 1.804 1.777
Mg 2.211 -1.804 1.777
Al 2.211 4.848 1.777
Al 2.211 -4.848 1.777
```

The following is a PBE calculation of a geometry-optimized Tl6ReBr12 structure, from Alexandria via LeMat-Bulk.

Properties
space group: R-3
calculated volume: 796.1 Å³/cell
calculated density: 4.95 Mg/m³
electronic total energy: -3.037 eV/atom
total moment: 1.6 μB per formula unit
uncorrected formation energy: -578 meV/atom
Fermi-level density of states: 19.6 states/eV/cell

```
19
Lattice="7.312 4.221 4.299 -7.312 4.221 4.299 0.000 -8.443 4.299" Properties=species:S:1:pos:R:3 pbc="T T T"
Tl -4.209 -4.129 6.807
Tl -5.680 1.580 6.089
Tl 1.471 -5.709 6.089
Tl -1.471 5.709 6.807
Tl 5.680 -1.580 6.807
Tl 4.209 4.129 6.089
Re 0.000 0.000 6.448
Br -1.688 -5.654 5.695
Br -5.741 -1.365 7.201
Br -1.985 0.516 5.023
Br -4.053 4.289 5.695
Br 0.546 -1.977 5.023
Br -1.439 -1.461 7.874
Br 1.439 1.461 5.023
Br -0.546 1.977 7.874
Br 4.053 -4.289 7.201
Br 1.985 -0.516 7.874
Br 5.741 1.365 5.695
Br 1.688 5.654 7.201
```

The following is a PBE calculation of a geometry-optimized TaCd2Fe structure, from Alexandria via LeMat-Bulk.

Properties
space group: Immm
calculated volume: 70.3 Å³/cell
calculated density: 10.90 Mg/m³
electronic total energy: -5.138 eV/atom
relative energy among the computed polymorphs: 0.245 eV/atom
total moment: 1.9 μB per formula unit
energy of formation: 0.398 eV per atom
Fermi-level density of states: 3.9 states/eV/cell

```
4
Lattice="-1.511 2.319 5.016 1.511 -2.319 5.016 1.511 2.319 -5.016" Properties=species:S:1:pos:R:3 pbc="T T T"
Ta 0.000 0.000 0.000
Cd 1.511 0.000 2.743
Cd 0.000 2.319 2.273
Fe 0.000 0.000 5.016
```

The following is a PBE calculation of a geometry-optimized Cs5AuI4 structure, from Alexandria via LeMat-Bulk.

Properties
space group: I4/mmm
calculated volume: 588.5 Å³/cell
calculated density: 3.86 Mg/m³
electronic total energy: -2.677 eV/atom
total moment: 0.0 μB per formula unit
uncorrected formation energy: -1302 meV/atom
Fermi-level density of states: 0.0 states/eV/cell

```
10
Lattice="-2.753 2.753 19.418 2.753 -2.753 19.418 2.753 2.753 -19.418" Properties=species:S:1:pos:R:3 pbc="T T T"
Cs 0.000 0.000 0.000
Cs 0.000 0.000 7.758
Cs 0.000 0.000 15.648
Cs 0.000 0.000 23.189
Cs 0.000 0.000 31.079
Au 0.000 0.000 19.418
I 0.000 0.000 3.847
I 0.000 0.000 11.694
I 0.000 0.000 27.142
I 0.000 0.000 34.990
```

The following is a PBE calculation of a geometry-optimized Li2BiF structure, from Alexandria via LeMat-Bulk.

Properties
space group: Fm-3m
calculated volume: 76.7 Å³/cell
calculated density: 5.23 Mg/m³
electronic total energy: -3.087 eV/atom
relative energy among the computed polymorphs: 0.824 eV/atom
total moment: 1.8 μB per formula unit
uncorrected formation energy: -692 meV/atom
Fermi-level density of states: 1.9 states/eV/cell

```
4
Lattice="0.000 3.373 3.373 3.373 0.000 3.373 3.373 3.373 0.000" Properties=species:S:1:pos:R:3 pbc="T T T"
Li 1.686 1.686 1.686
Li 5.059 5.059 5.059
Bi 0.000 0.000 0.000
F 3.373 3.373 3.373
```

The following is a PBE calculation of a geometry-optimized BaAu structure, from Alexandria via LeMat-Bulk.

Properties
space group: I4/m
calculated volume: 292.7 Å³/cell
calculated density: 7.59 Mg/m³
electronic total energy: -3.143 eV/atom
total moment: 0.0 μB per formula unit
energy of formation: -0.543 eV per atom
Fermi-level density of states: 6.6 states/eV/cell

```
8
Lattice="-4.783 4.783 3.198 4.783 -4.783 3.198 4.783 4.783 -3.198" Properties=species:S:1:pos:R:3 pbc="T T T"
Ba 6.767 0.768 0.000
Ba 0.768 2.800 0.000
Ba 4.015 1.984 3.198
Ba -1.984 4.015 3.198
Au 4.150 2.793 0.000
Au 1.990 -0.633 3.198
Au 2.793 5.417 0.000
Au 0.633 1.990 3.198
```

The following is a PBE calculation of a geometry-optimized Er11Hg9Rh4 structure, from Alexandria via LeMat-Bulk.

Properties
space group: Cmmm
calculated volume: 556.7 Å³/cell
calculated density: 12.10 Mg/m³
electronic total energy: -4.065 eV/atom
total moment: 0.0 μB per formula unit
energy of formation: -0.635 eV per atom
Fermi-level density of states: 16.0 states/eV/cell

```
24
Lattice="7.150 -10.683 0.000 7.150 10.683 0.000 0.000 0.000 3.644" Properties=species:S:1:pos:R:3 pbc="T T T"
Er 0.000 0.000 0.000
Er 3.576 3.556 0.000
Er 7.150 7.130 0.000
Er 4.215 0.000 0.000
Er 7.150 2.849 0.000
Er 3.576 -3.556 0.000
Er 10.723 3.556 0.000
Er 7.150 -2.849 0.000
Er 10.084 0.000 0.000
Er 7.150 -7.130 0.000
Er 10.723 -3.556 0.000
Hg 1.947 1.625 1.822
Hg 5.564 5.148 1.822
Hg 1.947 -1.625 1.822
Hg 8.735 5.148 1.822
Hg 7.150 0.000 1.822
Hg 5.564 -5.148 1.822
Hg 12.352 1.625 1.822
Hg 8.735 -5.148 1.822
Hg 12.352 -1.625 1.822
Rh 5.067 2.063 1.822
Rh 5.067 -2.063 1.822
Rh 9.232 2.063 1.822
Rh 9.232 -2.063 1.822
```

The following is a PBE calculation of a geometry-optimized KAgBi2Te4 structure, from Alexandria via LeMat-Bulk.

Properties
space group: Cmcm
calculated volume: 560.8 Å³/cell
calculated density: 6.37 Mg/m³
electronic total energy: -3.397 eV/atom
total moment: 0.0 μB per formula unit
uncorrected formation energy: -362 meV/atom
Fermi-level density of states: 0.6 states/eV/cell

```
16
Lattice="2.288 -7.515 0.000 2.288 7.515 0.000 0.000 0.000 16.306" Properties=species:S:1:pos:R:3 pbc="T T T"
K 2.288 5.689 12.229
K 2.288 -5.689 4.076
Ag 2.288 5.175 4.076
Ag 2.288 -5.175 12.229
Bi 2.288 2.008 9.232
Bi 2.288 2.008 15.226
Bi 2.288 -2.008 1.079
Bi 2.288 -2.008 7.073
Te 0.000 0.000 0.000
Te 0.000 0.000 8.153
Te 2.288 3.452 1.741
Te 2.288 3.452 6.412
Te 2.288 0.795 12.229
Te 2.288 -0.795 4.076
Te 2.288 -3.452 9.894
Te 2.288 -3.452 14.565
```

The following is a PBE calculation of a geometry-optimized NaPaCuS4 structure, from Alexandria via LeMat-Bulk.

Properties
space group: P2_1/m
calculated volume: 300.7 Å³/cell
calculated density: 4.92 Mg/m³
electronic total energy: -5.593 eV/atom
total moment: 0.0 μB per formula unit
uncorrected formation energy: -1104 meV/atom
Fermi-level density of states: 3.4 states/eV/cell

```
14
Lattice="6.769 0.000 0.000 0.000 5.439 0.000 -3.372 0.000 8.167" Properties=species:S:1:pos:R:3 pbc="T T T"
Na -0.331 1.360 3.735
Na 3.728 4.079 4.432
Pa -1.641 1.360 7.664
Pa 5.038 4.079 0.503
Cu 1.212 4.079 1.565
Cu 2.185 1.360 6.602
S -2.641 4.079 7.489
S -0.616 4.079 2.871
S 0.424 2.798 6.451
S 0.424 5.360 6.451
S 2.973 0.079 1.716
S 2.973 2.640 1.716
S 4.013 1.360 5.296
S 6.038 1.360 0.678
```

The following is a PBE calculation of a geometry-optimized Sb2AsPd3 structure, from Alexandria via LeMat-Bulk.

Properties
space group: C2/m
calculated volume: 237.6 Å³/cell
calculated density: 8.91 Mg/m³
electronic total energy: -4.989 eV/atom
total moment: 0.0 μB per formula unit
uncorrected formation energy: -243 meV/atom
Fermi-level density of states: 6.2 states/eV/cell

```
12
Lattice="3.166 -6.107 0.000 3.166 6.107 0.000 -2.659 0.000 6.144" Properties=species:S:1:pos:R:3 pbc="T T T"
Sb 0.000 0.000 0.000
Sb 1.837 4.449 3.072
Sb 1.837 0.000 3.072
Sb 1.837 -4.449 3.072
As 3.166 2.356 0.000
As 3.166 -2.356 0.000
Pd 1.077 2.177 1.693
Pd -0.170 0.000 4.949
Pd 1.077 -2.177 1.693
Pd 2.597 2.177 4.451
Pd 3.844 0.000 1.195
Pd 2.597 -2.177 4.451
```

The following is a PBE calculation of a geometry-optimized KLaIn2 structure, from Alexandria via LeMat-Bulk.

Properties
space group: R-3m
calculated volume: 134.5 Å³/cell
calculated density: 5.03 Mg/m³
electronic total energy: -2.938 eV/atom
relative energy among the computed polymorphs: 0.185 eV/atom
total moment: 0.7 μB per formula unit
energy of formation: -0.063 eV per atom
Fermi-level density of states: 4.7 states/eV/cell

```
4
Lattice="1.830 1.056 11.597 -1.830 1.056 11.597 0.000 -2.113 11.597" Properties=species:S:1:pos:R:3 pbc="T T T"
K 0.000 0.000 0.000
La 0.000 0.000 17.396
In 0.000 0.000 8.568
In 0.000 0.000 26.224
```

- total moment of number 9 (KAgBi2Te4)?
  0.0 μB per formula unit

- Which value of total moment does entry 8 give?
  0.0 μB per formula unit

- Look up the calculated volume of the fifth one.
  588.5 Å³/cell